1.
First-principles (PBE) data for ZrAlMo2 after structural relaxation, as listed in the Alexandria database.

energy of formation from the pure elements = -0.001 eV per atom
space-group type = P2/m, No. 10
mass density = 7.508 g/cm3

```
ZrAlMo2
1.0
2.773 0.000 0.000
0.000 4.555 0.000
-0.889 0.000 5.430
Zr Al Mo
1 1 2
Cartesian
0.000 0.000 0.000 Zr
0.942 0.000 2.715 Al
-0.036 2.277 3.987 Mo
1.920 2.277 1.442 Mo
```

***

2.
First-principles (PBE) data for ZrAlMo2 after structural relaxation, as listed in the Alexandria database.

energy of formation from the pure elements = -0.130 eV per atom
space-group type = Imm2, No. 44
mass density = 7.378 g/cm3

```
ZrAlMo2
1.0
-1.670 2.282 4.578
1.670 -2.282 4.578
1.670 2.282 -4.578
Zr Al Mo
1 1 2
Cartesian
0.000 0.000 0.000 Zr
1.670 0.000 2.516 Al
0.000 0.000 4.832 Mo
0.000 2.282 2.229 Mo
```

***

3.
First-principles (PBE) data for ZrAlMo2 after structural relaxation, as listed in the Alexandria database.

energy of formation from the pure elements = -0.080 eV per atom
space-group type = Pm, No. 6
mass density = 7.417 g/cm3

```
ZrAlMo2
1.0
2.866 0.000 0.000
0.000 4.513 0.000
-1.177 0.000 5.369
Zr Al Mo
1 1 2
Cartesian
0.000 0.000 0.000 Zr
1.597 2.256 1.392 Al
-0.001 2.256 3.882 Mo
0.807 0.000 2.756 Mo
```

***

4.
First-principles (PBE) data for ZrAl3Mo after structural relaxation, as listed in the Alexandria database.

energy of formation from the pure elements = 1.466 eV per atom
space-group type = Pm-3m, No. 221
mass density = 3.524 g/cm3

```
ZrAl3Mo
1.0
5.018 0.000 0.000
0.000 5.018 0.000
0.000 0.000 5.018
Zr Al Mo
1 3 1
Cartesian
0.000 0.000 0.000 Zr
0.000 0.000 2.509 Al
0.000 2.509 0.000 Al
2.509 0.000 0.000 Al
2.509 2.509 2.509 Mo
```

***

Among the records above, which one has the lowest mass density?
ZrAl3Mo

***

Among the records above, which one has the highest mass density?
number 1

***

Among the records above, which one has the lowest energy of formation from the pure elements?
number 2